{"formula": "TiMnO2", "functional": "GGA+U", "state": "relaxed", "energy_ev_per_atom": -8.20, "polymorph_energy_mev_per_atom": 95, "crystal_system": "monoclinic", "vol_a3_per_atom": 11.8, "space_group": "No. 8", "cell": [[5.523, 0.000, 0.260], [0.000, 2.979, 0.000], [-1.340, 0.000, 11.456]], "species": ["O", "O", "O", "O", "O", "O", "O", "O", "Ti", "Ti", "Ti", "Ti", "Mn", "Mn", "Mn", "Mn"], "fractional_positions": [[0.117, 0.000, 0.373], [0.752, 0.000, 0.926], [0.794, 0.500, 0.652], [0.175, 0.500, 0.160], [0.117, 0.500, 0.873], [0.752, 0.500, 0.426], [0.794, 0.000, 0.152], [0.175, 0.000, 0.660], [0.914, 0.500, 0.274], [0.914, 0.000, 0.774], [0.897, 0.000, 0.530], [0.897, 0.500, 0.030], [0.396, 0.000, 0.898], [0.429, 0.000, 0.156], [0.396, 0.500, 0.398], [0.429, 0.500, 0.656]]}